TiAl2Sn2: relaxed, GGA-PBE.

```
TiAl2Sn2
1.0
7.2429 0.0000 0.0000
0.0000 7.2429 0.0000
0.0000 0.0000 3.9245
Al Sn Ti
4 4 2
direct
0.6322 0.1322 0.0000 Al
0.1322 0.3678 0.0000 Al
0.3678 0.8678 0.0000 Al
0.8678 0.6322 0.0000 Al
0.6721 0.8279 0.5000 Sn
0.3279 0.1721 0.5000 Sn
0.8279 0.3279 0.5000 Sn
0.1721 0.6721 0.5000 Sn
0.5000 0.5000 0.0000 Ti
0.0000 0.0000 0.0000 Ti
```

As for the calculated density: 5.47 g cm⁻³. For the formation energy, the calculation gives 0.53 eV per formula unit. As for the symmetry: P4/mbm, No. 127. The density of states at the Fermi level comes out at 0.80 states/eV/atom.

=====

La2Hg3Pt2: relaxed, GGA-PBE.

```
La2Hg3Pt2
1.0
-1.9408 -3.6262 0.8196
5.6741 -0.3665 1.0855
-1.7910 2.5496 7.0385
Pt Hg La
2 3 2
direct
0.9006 0.8012 0.3735 Pt
0.0994 0.1988 0.6265 Pt
0.0000 0.0000 0.0000 Hg
0.3099 0.6198 0.1351 Hg
0.6901 0.3802 0.8649 Hg
0.6216 0.2431 0.3430 La
0.3784 0.7569 0.6570 La
```

As for the calculated density: 12.15 g cm⁻³. For the formation energy, the calculation gives -4.93 eV per formula unit. As for the symmetry: C2/m, No. 12. The density of states at the Fermi level comes out at 0.51 states/eV/atom.

=====

NaV3Os: relaxed, GGA-PBE.

```
NaV3Os
1.0
4.2872 0.0000 0.0000
0.0000 4.2872 0.0000
0.0000 0.0000 4.2872
V Na Os
3 1 1
direct
0.5000 0.0000 0.0000 V
0.0000 0.0000 0.5000 V
0.0000 0.5000 0.0000 V
0.0000 0.0000 0.0000 Na
0.5000 0.5000 0.5000 Os
```

As for the calculated density: 7.71 g cm⁻³. For the formation energy, the calculation gives 11.57 eV per formula unit. As for the symmetry: Pm-3m, No. 221. The density of states at the Fermi level comes out at 1.48 states/eV/atom.

=====

Copy entry 3 word for word.
NaV3Os: relaxed, GGA-PBE.

```
NaV3Os
1.0
4.2872 0.0000 0.0000
0.0000 4.2872 0.0000
0.0000 0.0000 4.2872
V Na Os
3 1 1
direct
0.5000 0.0000 0.0000 V
0.0000 0.0000 0.5000 V
0.0000 0.5000 0.0000 V
0.0000 0.0000 0.0000 Na
0.5000 0.5000 0.5000 Os
```

As for the calculated density: 7.71 g cm⁻³. For the formation energy, the calculation gives 11.57 eV per formula unit. As for the symmetry: Pm-3m, No. 221. The density of states at the Fermi level comes out at 1.48 states/eV/atom.

=====

> Which of these has the highest calculated density?

La2Hg3Pt2

=====

> Which value of calculated density does entry 3 give?

7.71 g cm⁻³